1.
The following is a GGA-PBE calculation of a relaxed Mn2CoAsH crystal, from the Alexandria database.

Computed properties:
As for the total magnetization: 4.17 μB/cell.

Unit cell a=3.6438 b=3.6438 c=3.7698 alpha=90.00 beta=90.00 gamma=90.00
Closest atoms and distances in Å follow each position.
Fractional coordinates of all 5 atoms:
H: 0.0000 0.0000 0.0000  4 Mn 1.82, 2 Co 1.88
As: 0.5000 0.5000 0.5000  4 Co 2.58, 8 Mn 2.62
Mn: 0.0000 0.5000 0.0000  2 H 1.82
Mn: 0.5000 0.0000 0.0000  2 H 1.82
Co: 0.0000 0.0000 0.5000  2 H 1.88

2.
The following is a GGA-PBE calculation of a relaxed Pm2Tm2Sn7 crystal, from the Alexandria database.

Computed properties:
The energy relative to the elements comes out at -0.182 eV per atom. As for the total magnetization: 0.00 μB/cell.

Unit cell a=7.0274 b=7.2639 c=7.0274 alpha=90.00 beta=99.97 gamma=90.00
Closest atoms and distances in Å follow each position.
Fractional coordinates of all 11 atoms:
Pm: 0.7131 0.0000 0.2869  7 Sn 3.09-3.19
Pm: 0.2869 0.0000 0.7131  7 Sn 3.09-3.19
Tm: 0.8112 0.5000 0.8112  6 Sn 3.11-3.15, 1 Tm 3.41
Tm: 0.1888 0.5000 0.1888  6 Sn 3.11-3.15, 1 Tm 3.41
Sn: 0.9998 0.2993 0.5003  1 Sn 2.92, 2 Tm 3.11, 2 Pm 3.16
Sn: 0.5003 0.7007 0.9998  1 Sn 2.92, 2 Tm 3.11, 2 Pm 3.16
Sn: 0.0002 0.7007 0.4997  1 Sn 2.92, 2 Tm 3.11, 2 Pm 3.16
Sn: 0.4997 0.2993 0.0002  1 Sn 2.92, 2 Tm 3.11, 2 Pm 3.16
Sn: 0.0000 0.0000 0.0000  2 Pm 3.09
Sn: 0.5002 0.6956 0.4998  1 Sn 2.84, 2 Tm 3.15
Sn: 0.4998 0.3044 0.5002  1 Sn 2.84, 2 Tm 3.15

3.
The following is a GGA-PBE calculation of a relaxed Ca2In2Pb crystal, from the Alexandria database.

Computed properties:
For the offset from the most stable computed form, the calculation gives 151 meV/atom. The energy relative to the elements comes out at -0.214 eV per atom. As for the total magnetization: 0.00 μB/cell.

Unit cell a=8.8465 b=8.8465 c=3.9650 alpha=90.00 beta=90.00 gamma=90.00
Closest atoms and distances in Å follow each position.
Fractional coordinates of all 10 atoms:
Pb: 0.0000 0.0000 0.0000  4 Ca 3.30
Pb: 0.5000 0.5000 0.0000  4 Ca 3.30
Ca: 0.3344 0.8344 0.0000  6 In 3.21-3.31, 2 Pb 3.30
Ca: 0.8344 0.6656 0.0000  6 In 3.21-3.31, 2 Pb 3.30
Ca: 0.6656 0.1656 0.0000  6 In 3.21-3.31, 2 Pb 3.30
Ca: 0.1656 0.3344 0.0000  6 In 3.21-3.31, 2 Pb 3.30
In: 0.1328 0.6328 0.5000  6 Ca 3.21-3.31, 1 In 3.32
In: 0.6328 0.8672 0.5000  6 Ca 3.21-3.31, 1 In 3.32
In: 0.8672 0.3672 0.5000  6 Ca 3.21-3.31, 1 In 3.32
In: 0.3672 0.1328 0.5000  6 Ca 3.21-3.31, 1 In 3.32

4.
The following is a GGA-PBE calculation of a relaxed H2IBr crystal, from the Alexandria database.

Computed properties:
For the offset from the most stable computed form, the calculation gives 648 meV/atom. As for the total magnetization: 0.00 μB/cell.

Unit cell a=3.8241 b=3.8241 c=6.4024 alpha=72.62 beta=72.62 gamma=60.00
Closest atoms and distances in Å follow each position.
Fractional coordinates of all 4 atoms:
I: 0.0000 0.0000 0.0000  2 H 1.86
H: 0.1029 0.1029 0.6912  1 I 1.86
H: 0.8971 0.8971 0.3088  1 I 1.86
Br: 0.5000 0.5000 0.5000  6 H 2.49

5.
The following is a GGA-PBE calculation of a relaxed Dy2YMn crystal, from the Alexandria database.

Computed properties:
For the offset from the most stable computed form, the calculation gives 125 meV/atom. The energy relative to the elements comes out at 0.247 eV per atom. As for the total magnetization: 3.54 μB/cell.

Unit cell a=3.4795 b=3.4795 c=10.6914 alpha=80.64 beta=80.64 gamma=60.00
Closest atoms and distances in Å follow each position.
Fractional coordinates of all 4 atoms:
Y: 0.5000 0.5000 0.5000  6 Y 3.48, 6 Dy 3.60
Mn: 0.0000 0.0000 0.0000  6 Dy 3.03
Dy: 0.2613 0.2613 0.2160  3 Mn 3.03
Dy: 0.7387 0.7387 0.7840  3 Mn 3.03

6.
The following is a GGA-PBE calculation of a relaxed Ta2NbRu2 crystal, from the Alexandria database.

Computed properties:
For the offset from the most stable computed form, the calculation gives 7 meV/atom. The energy relative to the elements comes out at -0.080 eV per atom. As for the total magnetization: 0.00 μB/cell.

Unit cell a=7.5165 b=7.5165 c=3.0128 alpha=90.00 beta=90.00 gamma=90.00
Closest atoms and distances in Å follow each position.
Fractional coordinates of all 10 atoms:
Ru: 0.3644 0.8644 0.0000  6 Ta 2.63-2.70, 1 Ru 2.88, 2 Nb 2.92
Ru: 0.8644 0.6356 0.0000  6 Ta 2.63-2.70, 1 Ru 2.88, 2 Nb 2.92
Ru: 0.6356 0.1356 0.0000  6 Ta 2.63-2.70, 1 Ru 2.88, 2 Nb 2.92
Ru: 0.1356 0.3644 0.0000  6 Ta 2.63-2.70, 1 Ru 2.88, 2 Nb 2.92
Nb: 0.0000 0.0000 0.0000  4 Ru 2.92, 2 Nb 3.01, 8 Ta 3.19
Nb: 0.5000 0.5000 0.0000  4 Ru 2.92, 2 Nb 3.01, 8 Ta 3.19
Ta: 0.1620 0.6620 0.5000  6 Ru 2.63-2.70
Ta: 0.6620 0.8380 0.5000  6 Ru 2.63-2.70
Ta: 0.8380 0.3380 0.5000  6 Ru 2.63-2.70
Ta: 0.3380 0.1620 0.5000  6 Ru 2.63-2.70

Number 1: electronic total energy -6.7480 eV/atom. Number 2: electronic total energy -4.4055 eV/atom. Number 3: electronic total energy -2.8513 eV/atom. Number 4: electronic total energy -1.9571 eV/atom. Number 5: electronic total energy -5.9622 eV/atom. Number 6: electronic total energy -10.5452 eV/atom.